YTlHg: single point on PBEsol structure, SCAN.

For the energy relative to the elements, the calculation gives -243 meV/atom. For the energy above the most stable polymorph in this dataset, the calculation gives 0.323 eV/atom.

The structure belongs to space group F-43m (No. 216); the cell edges are 6.9983, 6.9983 and 6.9983 Å and the angles 90.00°, 90.00° and 90.00°. The distinct sites, in fractional coordinates, are Y at (0.0000, 0.0000, 0.0000), Tl at (0.2500, 0.2500, 0.2500) and Hg at (0.2500, 0.2500, 0.7500).